1.
Cs2AlFeRh GGA-PBE relaxed; volume = 38.25 A^3/atom; ΔH_f (0 K) = 0.894 eV/atom; uncorrected energy = -16.795 eV per cell
1.0
-5.7260 2.7328 0.5107
-1.3827 -3.4427 2.9194
2.0624 3.3913 4.9761
Fe Cs Al Rh
1 2 1 1
direct
0.5000 0.5000 0.5000
0.5000 0.0000 0.0000
0.0000 0.0000 0.5000
0.0000 0.5000 0.0000
0.0000 0.0000 0.0000

***

2.
Cs2AlFeRu GGA-PBE relaxed; volume = 36.50 A^3/atom; ΔH_f (0 K) = 1.226 eV/atom; uncorrected energy = -17.056 eV per cell
1.0
-0.6372 5.7549 -2.1089
-0.5936 -1.6988 -4.4566
-6.0818 -0.3304 0.9360
Cs Al Ru Fe
2 1 1 1
direct
0.5000 0.0000 0.0000
0.0000 0.0000 0.5000
0.0000 0.5000 0.0000
0.0000 0.0000 0.0000
0.5000 0.5000 0.5000

***

3.
CsAl3Ga GGA-PBE relaxed; volume = 44.19 A^3/atom; ΔH_f (0 K) = 1.720 eV/atom; excess energy over the best structure of this formula in the dataset = 5.90 eV/f.u.; uncorrected energy = -6.509 eV per cell
1.0
-4.5479 3.2343 -2.3242
-3.5717 -1.7510 4.5522
1.7622 4.7978 3.2282
Ga Al Cs
1 3 1
direct
0.5000 0.5000 0.5000
0.5000 0.0000 0.0000
0.0000 0.5000 0.0000
0.0000 0.0000 0.5000
0.0000 0.0000 0.0000

***

4.
Cs5AlGa6 GGA-PBE relaxed; volume = 46.41 A^3/atom; ΔH_f (0 K) = 0.072 eV/atom; uncorrected energy = -25.304 eV per cell
1.0
8.6726 0.1827 1.5852
2.5303 7.2495 4.4002
0.1151 -0.0497 8.9153
Ga Cs Al
6 5 1
direct
0.8056 0.8595 0.0000
0.8290 0.2802 0.7584
0.1944 0.1405 0.0000
0.8290 0.0386 0.2416
0.1710 0.9614 0.7584
0.1710 0.7198 0.2416
0.0000 0.3440 0.3119
0.5000 0.1836 0.6327
0.0000 0.6560 0.6881
0.5000 0.5000 0.0000
0.5000 0.8164 0.3673
0.0000 0.0000 0.0000